{"formula": "AlCoTc", "functional": "PBE", "state": "relaxed", "e_form_ev_per_fu": -0.38, "cell": [[4.124, 0.000, 0.000], [-2.062, 3.571, 0.000], [0.000, 0.000, 2.648]], "species": ["Al", "Co", "Tc"], "fractional_positions": [[0.000, 0.000, 0.158], [0.667, 0.333, 0.176], [0.333, 0.667, 0.666]]}

{"formula": "La6Sm2Y3Mg", "functional": "PBE", "state": "relaxed", "e_form_ev_per_fu": 0.15, "cell": [[6.333, -0.003, -0.015], [-3.168, 5.484, -0.015], [-1.030, -1.783, 11.789]], "species": ["Y", "Y", "Y", "La", "La", "La", "La", "La", "La", "Mg", "Sm", "Sm"], "fractional_positions": [[0.833, 0.167, 0.500], [0.500, 0.500, 0.500], [0.167, 0.833, 0.500], [0.083, 0.414, 0.249], [0.248, 0.248, 0.750], [0.586, 0.917, 0.751], [0.752, 0.752, 0.250], [0.414, 0.083, 0.249], [0.917, 0.586, 0.751], [0.000, 0.000, 0.000], [0.667, 0.333, 0.000], [0.333, 0.667, 0.000]]}

{"formula": "Sr4MgCd5", "functional": "PBE", "state": "relaxed", "e_form_ev_per_fu": -2.74, "cell": [[-1.726, 0.980, -3.421], [-1.416, -3.677, -0.339], [-16.438, 5.425, 9.847]], "species": ["Sr", "Sr", "Sr", "Sr", "Cd", "Cd", "Cd", "Cd", "Cd", "Mg"], "fractional_positions": [[0.000, 0.000, 0.816], [0.000, 0.000, 0.394], [0.000, 0.000, 0.606], [0.000, 0.000, 0.184], [0.500, 0.500, 0.924], [0.500, 0.500, 0.712], [0.500, 0.500, 0.500], [0.500, 0.500, 0.288], [0.500, 0.500, 0.076], [0.000, 0.000, 0.000]]}

{"formula": "ZrBW", "functional": "PBE", "state": "relaxed", "e_form_ev_per_fu": -0.99, "cell": [[-1.226, -0.106, -4.775], [-1.370, -2.836, 0.415], [-9.370, 5.026, 3.414]], "species": ["W", "W", "W", "W", "B", "B", "B", "B", "Zr", "Zr", "Zr", "Zr"], "fractional_positions": [[0.669, 0.500, 0.419], [0.669, 0.000, 0.919], [0.331, 0.000, 0.081], [0.331, 0.500, 0.581], [0.405, 0.000, 0.734], [0.595, 0.500, 0.766], [0.595, 0.000, 0.266], [0.405, 0.500, 0.234], [0.136, 0.500, 0.859], [0.864, 0.500, 0.141], [0.136, 0.000, 0.359], [0.864, 0.000, 0.641]]}

{"formula": "CoBiPd3", "functional": "PBE", "state": "relaxed", "e_form_ev_per_fu": 2.35, "cell": [[4.641, 0.000, 0.000], [0.000, 4.641, 0.000], [0.000, 0.000, 4.641]], "species": ["Bi", "Pd", "Pd", "Pd", "Co"], "fractional_positions": [[0.500, 0.500, 0.500], [0.000, 0.000, 0.500], [0.500, 0.000, 0.000], [0.000, 0.500, 0.000], [0.000, 0.000, 0.000]]}

{"formula": "LiInAg2", "functional": "PBE", "state": "relaxed", "e_form_ev_per_fu": -0.60, "cell": [[-0.371, -3.070, -1.247], [2.949, 0.267, -1.534], [2.970, -2.501, 5.273]], "species": ["Ag", "Ag", "In", "Li"], "fractional_positions": [[0.500, 0.500, 0.238], [0.000, 0.000, 0.979], [0.000, 0.000, 0.510], [0.500, 0.500, 0.772]]}

{"formula": "LiHf2S2", "functional": "PBE", "state": "relaxed", "cell": [[4.251, 0.000, 0.000], [0.000, 4.251, 0.000], [2.125, 2.125, 5.904]], "species": ["Li", "Hf", "Hf", "S", "S"], "fractional_positions": [[0.000, 0.000, 0.000], [0.750, 0.250, 0.500], [0.250, 0.750, 0.500], [0.629, 0.629, 0.741], [0.371, 0.371, 0.259]]}

{"formula": "Ti2ZnO4", "functional": "PBE", "state": "relaxed", "cell": [[-2.965, 3.066, 4.360], [2.965, -3.066, 4.360], [2.965, 3.066, -4.360]], "species": ["O", "O", "O", "O", "O", "O", "O", "O", "Zn", "Zn", "Ti", "Ti", "Ti", "Ti"], "fractional_positions": [[0.251, 0.245, 0.005], [0.260, 0.755, 0.505], [0.740, 0.245, 0.495], [0.749, 0.755, 0.995], [0.260, 0.753, 0.992], [0.260, 0.268, 0.508], [0.740, 0.732, 0.492], [0.740, 0.247, 0.008], [0.500, 0.500, 0.000], [0.000, 0.500, 0.500], [0.500, 0.500, 0.500], [0.131, 0.881, 0.250], [0.869, 0.119, 0.750], [0.500, 0.000, 0.000]]}

| no. | D(E_F) (states/eV per cell) | E (eV/atom) | magnetization (μB per formula unit) |
| --- | --- | --- | --- |
| 1 | 3.09 | -7.20 | 0.0 |
| 2 | 14.49 | -4.99 | 0.0 |
| 3 | 7.73 | -1.56 | 0.0 |
| 4 | 7.94 | -9.72 | 0.0 |
| 5 | 4.74 | -4.84 | 3.0 |
| 6 | 0.76 | -2.74 | 0.0 |
| 7 | 2.32 | -6.76 | 0.0 |
| 8 | 8.01 | -7.60 | 1.6 |